Entry from Alexandria via LeMat-Bulk: crystalline Al3Ag7 at its relaxed geometry (GGA-PBEsol).

Computed properties:
Raw total energy in eV per atom: -3.621
Total magnetic moment in μB/atom: 0.000

a b c (Å): 4.0040 3.9943 10.3078
angles (deg): 101.17 90.00 90.00
Positions (direct):
Al (0.5000, 0.4959, 0.9918)
Al (0.0000, 0.2037, 0.4074)
Al (0.5000, 0.1003, 0.2006)
Ag (0.0000, 0.0041, 0.0083)
Ag (0.5000, 0.9011, 0.8022)
Ag (0.0000, 0.7985, 0.5970)
Ag (0.5000, 0.6961, 0.3922)
Ag (0.0000, 0.5997, 0.1995)
Ag (0.0000, 0.4029, 0.8058)
Ag (0.5000, 0.2977, 0.5953)

Entry from Alexandria via LeMat-Bulk: crystalline Y2HfGe2 at its relaxed geometry (GGA-PBEsol).

Computed properties:
Raw total energy in eV per atom: -7.594
Total magnetic moment in μB/atom: 0.000

a b c (Å): 4.1111 7.2750 7.2750
angles (deg): 90.00 90.00 90.00
Positions (direct):
Y (0.5000, 0.1703, 0.6703)
Y (0.5000, 0.6703, 0.8297)
Y (0.5000, 0.8297, 0.3297)
Y (0.5000, 0.3297, 0.1703)
Ge (0.0000, 0.3652, 0.8652)
Ge (0.0000, 0.8652, 0.6348)
Ge (0.0000, 0.6348, 0.1348)
Ge (0.0000, 0.1348, 0.3652)
Hf (0.0000, 0.0000, 0.0000)
Hf (0.0000, 0.5000, 0.5000)

Entry from Alexandria via LeMat-Bulk: crystalline Zr2AlBr at its relaxed geometry (GGA-PBEsol).

Computed properties:
Raw total energy in eV per atom: -5.728
Uncorrected formation energy in meV/atom: 307
Total magnetic moment in μB/atom: 0.327

a b c (Å): 4.8620 4.8620 4.8620
angles (deg): 60.00 60.00 60.00
Positions (direct):
Br (0.7500, 0.7500, 0.7500)
Zr (0.0000, 0.0000, 0.0000)
Zr (0.2500, 0.2500, 0.2500)
Al (0.5000, 0.5000, 0.5000)

Entry from Alexandria via LeMat-Bulk: crystalline ThTc2 at its relaxed geometry (GGA-PBEsol).

Computed properties:
Raw total energy in eV per atom: -10.316
Total magnetic moment in μB/atom: 0.000

a b c (Å): 5.1971 5.1971 9.6100
angles (deg): 90.00 90.00 120.00
Positions (direct):
Th (0.3333, 0.6667, 0.0629)
Th (0.6667, 0.3333, 0.9371)
Th (0.6667, 0.3333, 0.5629)
Th (0.3333, 0.6667, 0.4371)
Tc (0.0000, 0.0000, 0.0000)
Tc (0.0000, 0.0000, 0.5000)
Tc (0.8306, 0.1694, 0.2500)
Tc (0.3388, 0.1694, 0.2500)
Tc (0.8306, 0.6612, 0.2500)
Tc (0.1694, 0.8306, 0.7500)
Tc (0.6612, 0.8306, 0.7500)
Tc (0.1694, 0.3388, 0.7500)

Entry from Alexandria via LeMat-Bulk: crystalline ZrTe6Cl6 at its relaxed geometry (GGA-PBEsol).

Computed properties:
Raw total energy in eV per atom: -4.037
Uncorrected formation energy in meV/atom: -784
Total magnetic moment in μB/atom: 0.000

a b c (Å): 10.8906 11.0538 12.8819
angles (deg): 90.00 90.00 90.00
Positions (direct):
Cl (0.9463, 0.4263, 0.7500)
Cl (0.0537, 0.5737, 0.2500)
Cl (0.4463, 0.5737, 0.7500)
Cl (0.5537, 0.4263, 0.2500)
Cl (0.6562, 0.0915, 0.7500)
Cl (0.3438, 0.9085, 0.2500)
Cl (0.1562, 0.9085, 0.7500)
Cl (0.8438, 0.0915, 0.2500)
Cl (0.6671, 0.3606, 0.8833)
Cl (0.3329, 0.6394, 0.3833)
Cl (0.1671, 0.6394, 0.6167)
Cl (0.8329, 0.3606, 0.1167)
Cl (0.3329, 0.6394, 0.1167)
Cl (0.6671, 0.3606, 0.6167)
Cl (0.8329, 0.3606, 0.3833)
Cl (0.1671, 0.6394, 0.8833)
Cl (0.9187, 0.1572, 0.6148)
Cl (0.0813, 0.8428, 0.1148)
Cl (0.4187, 0.8428, 0.8852)
Cl (0.5813, 0.1572, 0.3852)
Cl (0.0813, 0.8428, 0.3852)
Cl (0.9187, 0.1572, 0.8852)
Cl (0.5813, 0.1572, 0.1148)
Cl (0.4187, 0.8428, 0.6148)
Te (0.5968, 0.8149, 0.0995)
Te (0.4032, 0.1851, 0.5995)
Te (0.0968, 0.1851, 0.4005)
Te (0.9032, 0.8149, 0.9005)
Te (0.4032, 0.1851, 0.9005)
Te (0.5968, 0.8149, 0.4005)
Te (0.9032, 0.8149, 0.5995)
Te (0.0968, 0.1851, 0.0995)
Te (0.6298, 0.6108, 0.9690)
Te (0.3702, 0.3892, 0.4690)
Te (0.1298, 0.3892, 0.5310)
Te (0.8702, 0.6108, 0.0310)
Te (0.3702, 0.3892, 0.0310)
Te (0.6298, 0.6108, 0.5310)
Te (0.8702, 0.6108, 0.4690)
Te (0.1298, 0.3892, 0.9690)
Te (0.7500, 0.9787, 0.0000)
Te (0.2500, 0.0213, 0.5000)
Te (0.2500, 0.0213, 0.0000)
Te (0.7500, 0.9787, 0.5000)
Te (0.7656, 0.7207, 0.2500)
Te (0.2344, 0.2793, 0.7500)
Te (0.2656, 0.2793, 0.2500)
Te (0.7344, 0.7207, 0.7500)
Zr (0.7952, 0.2618, 0.7500)
Zr (0.2048, 0.7382, 0.2500)
Zr (0.2952, 0.7382, 0.7500)
Zr (0.7048, 0.2618, 0.2500)

Entry from Alexandria via LeMat-Bulk: crystalline Cd3Ag at its relaxed geometry (GGA-PBEsol).

Computed properties:
Raw total energy in eV per atom: -1.774
Total magnetic moment in μB/atom: 0.000

a b c (Å): 4.8120 6.0149 6.0619
angles (deg): 60.26 90.00 90.00
Positions (direct):
Ag (0.7500, 0.5831, 0.8338)
Ag (0.2500, 0.4169, 0.1662)
Cd (0.7500, 0.0841, 0.8318)
Cd (0.7500, 0.0918, 0.3280)
Cd (0.7500, 0.5802, 0.3280)
Cd (0.2500, 0.9159, 0.1682)
Cd (0.2500, 0.9082, 0.6720)
Cd (0.2500, 0.4198, 0.6720)

Entry from Alexandria via LeMat-Bulk: crystalline BeCdCl4 at its relaxed geometry (GGA-PBEsol).

Computed properties:
Raw total energy in eV per atom: -1.431
Uncorrected formation energy in meV/atom: 774
Total magnetic moment in μB/atom: 0.441

a b c (Å): 5.7585 5.7585 5.7585
angles (deg): 60.00 60.00 60.00
Positions (direct):
Be (0.7500, 0.7500, 0.7500)
Cl (0.3741, 0.3741, 0.3741)
Cl (0.3741, 0.3741, 0.8777)
Cl (0.8777, 0.3741, 0.3741)
Cl (0.3741, 0.8777, 0.3741)
Cd (0.0000, 0.0000, 0.0000)

Entry from Alexandria via LeMat-Bulk: crystalline SrYAl at its relaxed geometry (GGA-PBEsol).

Computed properties:
Raw total energy in eV per atom: -4.208
Total magnetic moment in μB/atom: 0.000

a b c (Å): 3.6352 5.2801 5.2801
angles (deg): 120.00 90.00 90.00
Positions (direct):
Y (0.2607, 0.6667, 0.3333)
Sr (0.6837, 0.3333, 0.6667)
Al (0.0556, 0.0000, 0.0000)

Entry from Alexandria via LeMat-Bulk: crystalline BaCuAs at its relaxed geometry (GGA-PBEsol).

Computed properties:
Raw total energy in eV per atom: -4.605
Total magnetic moment in μB/atom: 0.000

a b c (Å): 4.2863 4.2863 9.1960
angles (deg): 90.00 90.00 120.00
Positions (direct):
As (0.3333, 0.6667, 0.2500)
As (0.6667, 0.3333, 0.7500)
Ba (0.0000, 0.0000, 0.5000)
Ba (0.0000, 0.0000, 0.0000)
Cu (0.3333, 0.6667, 0.7500)
Cu (0.6667, 0.3333, 0.2500)

Entry from Alexandria via LeMat-Bulk: crystalline ReNiSe4 at its relaxed geometry (GGA-PBEsol).

Computed properties:
Raw total energy in eV per atom: -4.292
Uncorrected formation energy in meV/atom: 1523
Total magnetic moment in μB/atom: 0.558

a b c (Å): 5.3699 5.3699 5.3699
angles (deg): 60.00 60.00 60.00
Positions (direct):
Ni (0.7500, 0.7500, 0.7500)
Re (0.0000, 0.0000, 0.0000)
Se (0.3750, 0.3750, 0.3750)
Se (0.3750, 0.3750, 0.8751)
Se (0.8751, 0.3750, 0.3750)
Se (0.3750, 0.8751, 0.3750)

Entry from Alexandria via LeMat-Bulk: crystalline Ba2Tm2CuPtO8 at its relaxed geometry (GGA-PBEsol).

Computed properties:
Raw total energy in eV per atom: -7.179
Uncorrected formation energy in meV/atom: -2366
Total magnetic moment in μB/atom: 0.075

a b c (Å): 5.6125 10.2208 13.0493
angles (deg): 90.00 90.00 90.00
Positions (direct):
Ba (0.2500, 0.4082, 0.4234)
Ba (0.7500, 0.5918, 0.5766)
Ba (0.7500, 0.9082, 0.0766)
Ba (0.2500, 0.0918, 0.9234)
Ba (0.2500, 0.6872, 0.2065)
Ba (0.7500, 0.3128, 0.7935)
Ba (0.7500, 0.1872, 0.2935)
Ba (0.2500, 0.8128, 0.7065)
Tm (0.2500, 0.0135, 0.4170)
Tm (0.7500, 0.9865, 0.5830)
Tm (0.7500, 0.5135, 0.0830)
Tm (0.2500, 0.4865, 0.9170)
Tm (0.2500, 0.3146, 0.1414)
Tm (0.7500, 0.6854, 0.8586)
Tm (0.7500, 0.8146, 0.3586)
Tm (0.2500, 0.1854, 0.6414)
Cu (0.2500, 0.7345, 0.4602)
Cu (0.7500, 0.2655, 0.5398)
Cu (0.7500, 0.2345, 0.0398)
Cu (0.2500, 0.7655, 0.9602)
Pt (0.2500, 0.0342, 0.1943)
Pt (0.7500, 0.9658, 0.8057)
Pt (0.7500, 0.5342, 0.3057)
Pt (0.2500, 0.4658, 0.6943)
O (0.2500, 0.1871, 0.2973)
O (0.7500, 0.8129, 0.7027)
O (0.7500, 0.6871, 0.2027)
O (0.2500, 0.3129, 0.7973)
O (0.5090, 0.4437, 0.2157)
O (0.4910, 0.5563, 0.7843)
O (0.4910, 0.9437, 0.2843)
O (0.0090, 0.5563, 0.7843)
O (0.5090, 0.0563, 0.7157)
O (0.9910, 0.4437, 0.2157)
O (0.9910, 0.0563, 0.7157)
O (0.0090, 0.9437, 0.2843)
O (0.0091, 0.1424, 0.1141)
O (0.9909, 0.8576, 0.8859)
O (0.9909, 0.6424, 0.3859)
O (0.5091, 0.8576, 0.8859)
O (0.0091, 0.3576, 0.6141)
O (0.4909, 0.1424, 0.1141)
O (0.4909, 0.3576, 0.6141)
O (0.5091, 0.6424, 0.3859)
O (0.5050, 0.3657, 0.0077)
O (0.4950, 0.6343, 0.9923)
O (0.4950, 0.8657, 0.4923)
O (0.0050, 0.6343, 0.9923)
O (0.5050, 0.1343, 0.5077)
O (0.9950, 0.3657, 0.0077)
O (0.9950, 0.1343, 0.5077)
O (0.0050, 0.8657, 0.4923)
O (0.2500, 0.6062, 0.5865)
O (0.7500, 0.3938, 0.4135)
O (0.7500, 0.1062, 0.9135)
O (0.2500, 0.8938, 0.0865)

Entry from Alexandria via LeMat-Bulk: crystalline HgAsPtBr2 at its relaxed geometry (GGA-PBEsol).

Computed properties:
Raw total energy in eV per atom: -2.057
Uncorrected formation energy in meV/atom: 1218
Total magnetic moment in μB/atom: 0.275

a b c (Å): 5.1937 5.1937 5.2411
angles (deg): 90.00 90.00 90.00
Positions (direct):
As (0.0000, 0.0000, 0.5000)
Br (0.0000, 0.5000, 0.0000)
Br (0.5000, 0.0000, 0.0000)
Hg (0.0000, 0.0000, 0.0000)
Pt (0.5000, 0.5000, 0.5000)